An optimized crystal structure of Tm3AuC. Source: Alexandria, functional PBE.

Lattice parameters (Å, degrees): 4.7692 4.7692 4.7692 90.00 90.00 90.00
Last column: nearest neighbours and their distance in Å.
Fractional positions:
Tm (0.0000, 0.0000, 0.5000)  2 C 2.38
Tm (0.0000, 0.5000, 0.0000)  2 C 2.38
Tm (0.5000, 0.0000, 0.0000)  2 C 2.38
Au (0.5000, 0.5000, 0.5000)  12 Tm 3.37
C (0.0000, 0.0000, 0.0000)  6 Tm 2.38

- space group = Pm-3m
- E above lowest polymorph (meV/atom) = 89
- formation enthalpy at 0 K (eV/atom) = -0.4775
- magnetic moment (μB/atom) = 0.16

***

An optimized crystal structure of YTm2AuC. Source: Alexandria, functional PBE.

Lattice parameters (Å, degrees): 4.7383 4.7383 4.9335 90.00 90.00 90.00
Last column: nearest neighbours and their distance in Å.
Fractional positions:
Y (0.0000, 0.0000, 0.0000)  2 C 2.47
Tm (0.0000, 0.5000, 0.5000)  2 C 2.37
Tm (0.5000, 0.0000, 0.5000)  2 C 2.37
Au (0.5000, 0.5000, 0.0000)  4 Y 3.35, 8 Tm 3.42
C (0.0000, 0.0000, 0.5000)  4 Tm 2.37, 2 Y 2.47

- space group = P4/mmm
- formation enthalpy at 0 K (eV/atom) = -0.4613
- magnetic moment (μB/atom) = 0.01

***

An optimized crystal structure of U2AuC. Source: Alexandria, functional PBE.

Lattice parameters (Å, degrees): 3.0813 3.0813 27.3090 90.00 90.00 120.00
Last column: nearest neighbours and their distance in Å.
Fractional positions:
U (0.0000, 0.0000, 0.1112)  3 C 2.34
U (0.0000, 0.0000, 0.8888)  3 C 2.34
U (0.3333, 0.6667, 0.5554)  3 C 2.34
U (0.3333, 0.6667, 0.7779)  3 C 2.34
U (0.6667, 0.3333, 0.2221)  3 C 2.34
U (0.6667, 0.3333, 0.4446)  3 C 2.34
Au (0.0000, 0.0000, 0.0000)  2 U 3.04, 6 Au 3.08
Au (0.3333, 0.6667, 0.6667)  2 U 3.04, 6 Au 3.08
Au (0.6667, 0.3333, 0.3333)  2 U 3.04, 6 Au 3.08
C (0.0000, 0.0000, 0.5000)  6 U 2.34
C (0.3333, 0.6667, 0.1667)  6 U 2.34
C (0.6667, 0.3333, 0.8333)  6 U 2.34

- space group = R-3m
- formation enthalpy at 0 K (eV/atom) = 0.1119
- magnetic moment (μB/atom) = 0.18

***

An optimized crystal structure of V7AuC2. Source: Alexandria, functional PBE.

Lattice parameters (Å, degrees): 6.1271 6.1271 3.9821 90.00 90.00 116.43
Last column: nearest neighbours and their distance in Å.
Fractional positions:
V (0.0000, 0.0000, 0.0000)  2 C 2.14, 4 V 2.39
V (0.1618, 0.4340, 0.0000)  2 C 2.05-2.10
V (0.2271, 0.7729, 0.5000)  2 C 2.00
V (0.4340, 0.1618, 0.0000)  2 C 2.05-2.10
V (0.5660, 0.8382, 0.0000)  2 C 2.05-2.10
V (0.7729, 0.2271, 0.5000)  2 C 2.00
V (0.8382, 0.5660, 0.0000)  2 C 2.05-2.10
Au (0.5000, 0.5000, 0.5000)  10 V 2.77-2.84
C (0.2055, 0.7945, 0.0000)  7 V 2.00-2.14
C (0.7945, 0.2055, 0.0000)  7 V 2.00-2.14

- space group = Cmmm
- formation enthalpy at 0 K (eV/atom) = 0.0248
- magnetic moment (μB/atom) = 0.00

***

An optimized crystal structure of V7Au2C2. Source: Alexandria, functional PBE.

Lattice parameters (Å, degrees): 5.4346 5.4346 5.6478 95.57 95.57 68.27
Last column: nearest neighbours and their distance in Å.
Fractional positions:
V (0.0000, 0.0000, 0.0000)  2 C 2.05
V (0.0533, 0.4995, 0.7816)  2 C 2.01-2.03
V (0.4513, 0.4513, 0.1703)  1 C 2.06, 1 V 2.21
V (0.4995, 0.0533, 0.7816)  2 C 2.01-2.03
V (0.5005, 0.9467, 0.2184)  2 C 2.01-2.03
V (0.5487, 0.5487, 0.8297)  1 C 2.06, 1 V 2.21
V (0.9467, 0.5005, 0.2184)  2 C 2.01-2.03
Au (0.2116, 0.7884, 0.5000)  6 V 2.56-2.79, 1 Au 2.58
Au (0.7884, 0.2116, 0.5000)  6 V 2.56-2.79, 1 Au 2.58
C (0.2297, 0.2297, 0.0281)  6 V 2.01-2.06
C (0.7703, 0.7703, 0.9719)  6 V 2.01-2.06

- space group = C2/m
- formation enthalpy at 0 K (eV/atom) = 0.0144
- magnetic moment (μB/atom) = 0.00

***

An optimized crystal structure of V2AuC. Source: Alexandria, functional PBE.

Lattice parameters (Å, degrees): 2.9594 2.9594 20.0962 90.00 90.00 120.00
Last column: nearest neighbours and their distance in Å.
Fractional positions:
V (0.0000, 0.0000, 0.2199)  3 C 2.02
V (0.0000, 0.0000, 0.7801)  3 C 2.02
V (0.3333, 0.6667, 0.4467)  3 C 2.02
V (0.3333, 0.6667, 0.8866)  3 C 2.02
V (0.6667, 0.3333, 0.1134)  3 C 2.02
V (0.6667, 0.3333, 0.5533)  3 C 2.02
Au (0.0000, 0.0000, 0.0000)  6 V 2.85, 6 Au 2.96
Au (0.3333, 0.6667, 0.6667)  6 V 2.85, 6 Au 2.96
Au (0.6667, 0.3333, 0.3333)  6 V 2.85, 6 Au 2.96
C (0.0000, 0.0000, 0.5000)  6 V 2.02
C (0.3333, 0.6667, 0.1667)  6 V 2.02
C (0.6667, 0.3333, 0.8333)  6 V 2.02

- space group = R-3m
- formation enthalpy at 0 K (eV/atom) = -0.3716
- magnetic moment (μB/atom) = 0.00

***

An optimized crystal structure of VAuC2. Source: Alexandria, functional PBE.

Lattice parameters (Å, degrees): 4.7720 4.7720 9.2255 90.00 90.00 90.00
Last column: nearest neighbours and their distance in Å.
Fractional positions:
V (0.0000, 0.0000, 0.0000)  4 C 1.94
V (0.0000, 0.5000, 0.2500)  4 C 1.94
V (0.5000, 0.0000, 0.7500)  4 C 1.94
V (0.5000, 0.5000, 0.5000)  4 C 1.94
Au (0.0000, 0.0000, 0.5000)  4 C 2.16
Au (0.0000, 0.5000, 0.7500)  4 C 2.16
Au (0.5000, 0.0000, 0.2500)  4 C 2.16
Au (0.5000, 0.5000, 0.0000)  4 C 2.16
C (0.2108, 0.2500, 0.1250)  2 V 1.94, 2 Au 2.16
C (0.2500, 0.7108, 0.3750)  2 V 1.94, 2 Au 2.16
C (0.2500, 0.7892, 0.8750)  2 V 1.94, 2 Au 2.16
C (0.2892, 0.2500, 0.6250)  2 V 1.94, 2 Au 2.16
C (0.7108, 0.7500, 0.6250)  2 V 1.94, 2 Au 2.16
C (0.7500, 0.2108, 0.8750)  2 V 1.94, 2 Au 2.16
C (0.7500, 0.2892, 0.3750)  2 V 1.94, 2 Au 2.16
C (0.7892, 0.7500, 0.1250)  2 V 1.94, 2 Au 2.16

- space group = I-42d
- E above lowest polymorph (meV/atom) = 0
- formation enthalpy at 0 K (eV/atom) = 0.9577
- magnetic moment (μB/atom) = 0.00

***

An optimized crystal structure of VAuC2. Source: Alexandria, functional PBE.

Lattice parameters (Å, degrees): 5.5175 5.5175 5.5175 90.00 90.00 90.00
Last column: nearest neighbours and their distance in Å.
Fractional positions:
V (0.0000, 0.0000, 0.0000)  8 C 2.39
V (0.0000, 0.5000, 0.5000)  8 C 2.39
V (0.5000, 0.0000, 0.5000)  8 C 2.39
V (0.5000, 0.5000, 0.0000)  8 C 2.39
Au (0.0000, 0.0000, 0.5000)  8 C 2.39
Au (0.0000, 0.5000, 0.0000)  8 C 2.39
Au (0.5000, 0.0000, 0.0000)  8 C 2.39
Au (0.5000, 0.5000, 0.5000)  8 C 2.39
C (0.2500, 0.2500, 0.2500)  4 V 2.39, 4 Au 2.39
C (0.2500, 0.2500, 0.7500)  4 V 2.39, 4 Au 2.39
C (0.2500, 0.7500, 0.2500)  4 V 2.39, 4 Au 2.39
C (0.2500, 0.7500, 0.7500)  4 V 2.39, 4 Au 2.39
C (0.7500, 0.2500, 0.2500)  4 V 2.39, 4 Au 2.39
C (0.7500, 0.2500, 0.7500)  4 V 2.39, 4 Au 2.39
C (0.7500, 0.7500, 0.2500)  4 V 2.39, 4 Au 2.39
C (0.7500, 0.7500, 0.7500)  4 Au 2.39, 4 V 2.39

- space group = Fm-3m
- E above lowest polymorph (meV/atom) = 684
- formation enthalpy at 0 K (eV/atom) = 1.6417
- magnetic moment (μB/atom) = 0.00

***

An optimized crystal structure of V5AuC2. Source: Alexandria, functional PBE.

Lattice parameters (Å, degrees): 3.1318 5.4872 11.0928 90.00 90.00 90.00
Last column: nearest neighbours and their distance in Å.
Fractional positions:
V (0.0000, 0.0000, 0.0000)  2 C 2.16
V (0.0000, 0.2610, 0.3436)  3 C 2.09-2.19
V (0.0000, 0.2610, 0.6564)  3 C 2.09-2.19
V (0.0000, 0.7390, 0.3436)  3 C 2.09-2.19
V (0.0000, 0.7390, 0.6564)  3 C 2.09-2.19
V (0.5000, 0.2390, 0.1564)  3 C 2.09-2.19
V (0.5000, 0.2390, 0.8436)  3 C 2.09-2.19
V (0.5000, 0.5000, 0.5000)  2 C 2.16
V (0.5000, 0.7610, 0.1564)  3 C 2.09-2.19
V (0.5000, 0.7610, 0.8436)  3 C 2.09-2.19
Au (0.0000, 0.5000, 0.0000)  10 V 2.74
Au (0.5000, 0.0000, 0.5000)  10 V 2.74
C (0.0000, 0.0000, 0.1943)  7 V 2.09-2.19
C (0.0000, 0.0000, 0.8057)  7 V 2.09-2.19
C (0.5000, 0.5000, 0.3057)  7 V 2.09-2.19
C (0.5000, 0.5000, 0.6943)  7 V 2.09-2.19

- space group = Immm
- formation enthalpy at 0 K (eV/atom) = -0.3161
- magnetic moment (μB/atom) = 0.00

***

An optimized crystal structure of V2AuC. Source: Alexandria, functional PBE.

Lattice parameters (Å, degrees): 6.1692 6.1692 5.6910 90.00 90.00 90.00
Last column: nearest neighbours and their distance in Å.
Fractional positions:
V (0.1602, 0.7500, 0.1250)  2 C 1.96
V (0.2500, 0.1602, 0.8750)  2 C 1.96
V (0.2500, 0.3398, 0.3750)  2 C 1.96
V (0.3398, 0.7500, 0.6250)  2 C 1.96
V (0.6602, 0.2500, 0.6250)  2 C 1.96
V (0.7500, 0.6602, 0.3750)  2 C 1.96
V (0.7500, 0.8398, 0.8750)  2 C 1.96
V (0.8398, 0.2500, 0.1250)  2 C 1.96
Au (0.0000, 0.0000, 0.5000)  8 V 2.70-2.81, 2 C 2.85
Au (0.0000, 0.5000, 0.7500)  8 V 2.70-2.81, 2 C 2.85
Au (0.5000, 0.0000, 0.2500)  8 V 2.70-2.81, 2 C 2.85
Au (0.5000, 0.5000, 0.0000)  8 V 2.70-2.81, 2 C 2.85
C (0.0000, 0.0000, 0.0000)  4 V 1.96
C (0.0000, 0.5000, 0.2500)  4 V 1.96
C (0.5000, 0.0000, 0.7500)  4 V 1.96
C (0.5000, 0.5000, 0.5000)  4 V 1.96

- space group = I-42d
- formation enthalpy at 0 K (eV/atom) = 0.2525
- magnetic moment (μB/atom) = 0.00

***

An optimized crystal structure of ZrV2AuC. Source: Alexandria, functional PBE.

Lattice parameters (Å, degrees): 4.0569 4.0569 4.5116 90.00 90.00 90.00
Last column: nearest neighbours and their distance in Å.
Fractional positions:
Zr (0.0000, 0.0000, 0.0000)  2 C 2.26
V (0.0000, 0.5000, 0.5000)  2 C 2.03
V (0.5000, 0.0000, 0.5000)  2 C 2.03
Au (0.5000, 0.5000, 0.0000)  4 Zr 2.87, 8 V 3.03
C (0.0000, 0.0000, 0.5000)  4 V 2.03, 2 Zr 2.26

- space group = P4/mmm
- formation enthalpy at 0 K (eV/atom) = -0.3231
- magnetic moment (μB/atom) = 0.26

***

An optimized crystal structure of Zr2VAuC. Source: Alexandria, functional PBE.

Lattice parameters (Å, degrees): 4.5634 4.5634 4.0198 90.00 90.00 90.00
Last column: nearest neighbours and their distance in Å.
Fractional positions:
Zr (0.0000, 0.5000, 0.0000)  2 C 2.28
Zr (0.5000, 0.0000, 0.0000)  2 C 2.28
V (0.0000, 0.0000, 0.5000)  2 C 2.01
Au (0.5000, 0.5000, 0.5000)  8 Zr 3.04, 4 V 3.23
C (0.0000, 0.0000, 0.0000)  2 V 2.01

- space group = P4/mmm
- formation enthalpy at 0 K (eV/atom) = -0.4751
- magnetic moment (μB/atom) = 0.22

***

An optimized crystal structure of WAuC2. Source: Alexandria, functional PBE.

Lattice parameters (Å, degrees): 5.6275 5.6275 5.6275 90.00 90.00 90.00
Last column: nearest neighbours and their distance in Å.
Fractional positions:
W (0.0000, 0.0000, 0.0000)  8 C 2.44
W (0.0000, 0.5000, 0.5000)  8 C 2.44
W (0.5000, 0.0000, 0.5000)  8 C 2.44
W (0.5000, 0.5000, 0.0000)  8 C 2.44
Au (0.0000, 0.0000, 0.5000)  8 C 2.44
Au (0.0000, 0.5000, 0.0000)  8 C 2.44
Au (0.5000, 0.0000, 0.0000)  8 C 2.44
Au (0.5000, 0.5000, 0.5000)  8 C 2.44
C (0.2500, 0.2500, 0.2500)  4 W 2.44, 4 Au 2.44
C (0.2500, 0.2500, 0.7500)  4 W 2.44, 4 Au 2.44
C (0.2500, 0.7500, 0.2500)  4 W 2.44, 4 Au 2.44
C (0.2500, 0.7500, 0.7500)  4 W 2.44, 4 Au 2.44
C (0.7500, 0.2500, 0.2500)  4 W 2.44, 4 Au 2.44
C (0.7500, 0.2500, 0.7500)  4 W 2.44, 4 Au 2.44
C (0.7500, 0.7500, 0.2500)  4 W 2.44, 4 Au 2.44
C (0.7500, 0.7500, 0.7500)  4 Au 2.44, 4 W 2.44

- space group = Fm-3m
- E above lowest polymorph (meV/atom) = 917
- formation enthalpy at 0 K (eV/atom) = 1.8841
- magnetic moment (μB/atom) = 0.00